Crystalline Pr12SmDy2 at its relaxed geometry. Source: Alexandria via LeMat-Bulk, functional PBE-GGA.

Properties
formation energy from the elements	0.15	eV/atom
DFT total energy	-69.01	eV/f.u.
DOS at the Fermi energy	1.42	states/eV per atom
V	35.9	Å³/atom
magnetic moment	0.0	Bohr magnetons per cell
space group	Cmme, No. 67

The structure in CIF format:
```
data_Pr12SmDy2
_chemical_formula_sum 'Pr24 Sm2 Dy4'
_cell_length_a 6.9047
_cell_length_b 6.9047
_cell_length_c 25.2570
_cell_angle_alpha 90.00
_cell_angle_beta 90.00
_cell_angle_gamma 116.53
_space_group_name_H-M_alt 'P 1'
_space_group_IT_number 1
loop_
_space_group_symop_operation_xyz
'x,y,z'
loop_
_atom_site_label
_atom_site_type_symbol
_atom_site_fract_x
_atom_site_fract_y
_atom_site_fract_z
Pr1 Pr 0.0000 0.0000 0.8009
Pr2 Pr 0.5000 0.5000 0.8009
Pr3 Pr 0.2743 0.2257 0.5601
Pr4 Pr 0.7476 0.7524 0.0738
Pr5 Pr 0.7700 0.2700 0.5847
Pr6 Pr 0.7743 0.7257 0.4399
Pr7 Pr 0.7519 0.2519 0.1312
Pr8 Pr 0.5000 0.5000 0.6755
Pr9 Pr 0.2476 0.2524 0.9262
Pr10 Pr 0.5000 0.5000 0.3245
Pr11 Pr 0.7257 0.7743 0.5601
Pr12 Pr 0.7481 0.2481 0.8688
Pr13 Pr 0.2300 0.7300 0.5847
Pr14 Pr 0.2257 0.2743 0.4399
Pr15 Pr 0.0000 0.0000 0.6755
Pr16 Pr 0.7524 0.7476 0.9262
Pr17 Pr 0.5000 0.5000 0.1991
Pr18 Pr 0.2481 0.7481 0.1312
Pr19 Pr 0.0000 0.0000 0.1991
Pr20 Pr 0.2700 0.7700 0.4153
Pr21 Pr 0.2524 0.2476 0.0738
Pr22 Pr 0.0000 0.0000 0.3245
Pr23 Pr 0.7300 0.2300 0.4153
Pr24 Pr 0.2519 0.7519 0.8688
Dy1 Dy 0.0000 0.5000 0.7323
Dy2 Dy 0.5000 0.0000 0.7284
Dy3 Dy 0.0000 0.5000 0.2716
Dy4 Dy 0.5000 0.0000 0.2677
Sm1 Sm 0.0000 0.5000 0.0012
Sm2 Sm 0.5000 0.0000 0.9988
```



Crystalline PmY2Pt at its relaxed geometry. Source: Alexandria via LeMat-Bulk, functional PBE-GGA.

Properties
formation energy from the elements	-0.59	eV/atom
DFT total energy	-26.08	eV/f.u.
DOS at the Fermi energy	1.08	states/eV per atom
V	27.7	Å³/atom
magnetic moment	0.0	Bohr magnetons per cell
space group	P4/mmm, No. 123
energy above the most stable polymorph in this dataset	99	meV/atom

The structure in CIF format:
```
data_PmY2Pt
_chemical_formula_sum 'Pm1 Y2 Pt1'
_cell_length_a 3.5670
_cell_length_b 3.5670
_cell_length_c 8.6997
_cell_angle_alpha 90.00
_cell_angle_beta 90.00
_cell_angle_gamma 90.00
_space_group_name_H-M_alt 'P 1'
_space_group_IT_number 1
loop_
_space_group_symop_operation_xyz
'x,y,z'
loop_
_atom_site_label
_atom_site_type_symbol
_atom_site_fract_x
_atom_site_fract_y
_atom_site_fract_z
Y1 Y 0.0000 0.0000 0.1904
Y2 Y 0.0000 0.0000 0.8096
Pt1 Pt 0.5000 0.5000 0.0000
Pm1 Pm 0.5000 0.5000 0.5000
```



Q: Which of these has the highest DOS at the Fermi energy?
A: Pr12SmDy2



Q: Number 2 is which compound?
A: PmY2Pt